Density functional theory data (PBE-GGA) for a relaxed Na4Hf3FeSe8 crystal.

a b c (Å): 7.6787 7.6787 21.1599
angles (deg): 90.00 90.00 120.00
Space group R-3m (No. 166, hexagonal axes)
Symmetry-distinct sites (fractional):
Na  0.0000  0.0000  0.0000 [3 per cell]
Na  0.0000  0.5000  0.0000 [9 per cell]
Hf  0.0000  0.5000  0.5000 [9 per cell]
Fe  0.0000  0.0000  0.5000 [3 per cell]
Se  0.0000  0.0000  0.2412 [6 per cell]
Se  0.0030  0.5015  0.2390 [18 per cell]

Calculated values
The value obtained for the electronic total energy is -267.79 eV for the cell shown. As for the raw formation energy: -17.79 eV/f.u. The calculation puts the total moment at 10.372 Bohr magnetons per cell.